Here is an optimized crystal structure of BeCrAu2 from the Alexandria database. Energies are from PBE.

a b c (Å): 3.898 3.898 9.365
angles (deg): 77.99 77.99 90.00
Atoms (fractional coordinates):
Cr 0.000 0.000 0.000
Cr 0.750 0.250 0.500
Au 0.137 0.625 0.250
Be 0.500 0.500 0.000
Be 0.250 0.750 0.500
Au 0.613 0.125 0.250
Au 0.875 0.863 0.750
Au 0.375 0.387 0.750

E above lowest polymorph: 410 meV per atom
V: 136.00 Å³ per cell
Size of the total moment: 8.0 μB/cell
SG: I-42d (122)
Energy relative to the elements: 0.460 eV/atom
DOS(E_F): 0.581 states/eV per atom

Here is an optimized crystal structure of BeCrAu2 from the Alexandria database. Energies are from PBE.

a b c (Å): 2.958 2.958 6.791
angles (deg): 90.00 90.00 90.00
Atoms (fractional coordinates):
Be 0.500 0.500 0.250
Au 0.000 0.000 0.465
Cr 0.500 0.500 0.750
Au 0.000 0.000 0.035

E above lowest polymorph: 0 meV per atom
V: 59.42 Å³ per cell
Size of the total moment: 3.8 μB/cell
SG: P4/mmm (123)
Energy relative to the elements: 0.051 eV/atom
DOS(E_F): 0.540 states/eV per atom

Here is an optimized crystal structure of BeCrAu from the Alexandria database. Energies are from PBE.

a b c (Å): 4.090 4.090 2.976
angles (deg): 90.00 90.00 120.00
Atoms (fractional coordinates):
Be 0.667 0.333 0.167
Au 0.000 0.000 0.166
Cr 0.333 0.667 0.666

E above lowest polymorph: 33 meV per atom
V: 43.11 Å³ per cell
Size of the total moment: 3.6 μB/cell
SG: P-6m2 (187)
Energy relative to the elements: 0.175 eV/atom
DOS(E_F): 0.612 states/eV per atom

Here is an optimized crystal structure of BeCrAu from the Alexandria database. Energies are from PBE.

a b c (Å): 3.995 3.995 3.995
angles (deg): 60.00 60.00 60.00
Atoms (fractional coordinates):
Be 0.750 0.750 0.750
Au 0.500 0.500 0.500
Cr 0.000 0.000 0.000

E above lowest polymorph: 123 meV per atom
V: 45.08 Å³ per cell
Size of the total moment: 3.8 μB/cell
SG: F-43m (216)
Energy relative to the elements: 0.265 eV/atom
DOS(E_F): 0.785 states/eV per atom

| no. | total DFT energy (no corrections) (eV for the cell shown) |
| --- | --- |
| 1 | -36.1 |
| 2 | -19.7 |
| 3 | -16.1 |
| 4 | -15.8 |